An optimized crystal structure of TlWSe, computed with PBE-GGA.

Geometry as POSCAR:
```
TlWSe
1.0
7.7294 -1.6402 0.0000
7.7294 1.6402 0.0000
-0.8391 0.0000 5.4692
Tl W Se
2 2 2
Direct
0.0000 0.0000 0.0000 Tl
0.6032 0.6032 0.5572 Tl
0.2707 0.2707 0.4066 W
0.6785 0.6785 0.1033 W
0.2660 0.2660 0.8794 Se
0.8976 0.8976 0.4446 Se
```

Computed properties:
**Formation energy from raw total energies**: 218 meV per atom
**Magnetization**: 0.0 μB per cell
**Mass density**: 11.2 g cm⁻³
**SG**: No. 8
**Polymorph energy (0 for the lowest one)**: 144.1 meV/atom